1.
# CuHgBr

Crystalline CuHgBr at its relaxed geometry (PBE, the Alexandria database).

Output
Crystal system ... tetragonal
Offset from the most stable computed form ... 70 meV/atom
ΔE_f (raw) ... -0.0407 eV/atom

Geometry as CIF:
```
data_CuHgBr
_chemical_formula_sum 'Cu2 Hg2 Br2'
_symmetry_space_group_name_H-M 'I 4 m m'
_symmetry_Int_Tables_number 107
_symmetry_space_group_name_Hall 'I 4 -2'
_cell_length_a 3.604
_cell_length_b 3.604
_cell_length_c 13.636
_cell_angle_alpha 90.00
_cell_angle_beta 90.00
_cell_angle_gamma 90.00
loop_
_atom_site_label
_atom_site_type_symbol
_atom_site_fract_x
_atom_site_fract_y
_atom_site_fract_z
Cu1 Cu 0.000 0.000 0.000
Hg1 Hg 0.000 0.000 0.196
Br1 Br 0.000 0.000 0.464
```

2.
# NaSrHg3

Crystalline NaSrHg3 at its relaxed geometry (PBE, the Alexandria database).

Output
DFT formation energy ... -0.1037 eV per atom
Crystal system ... cubic
Offset from the most stable computed form ... 266 meV/atom

Geometry as CIF:
```
data_NaSrHg3
_chemical_formula_sum 'Na1 Sr1 Hg3'
_symmetry_space_group_name_H-M 'P m -3 m'
_symmetry_Int_Tables_number 221
_symmetry_space_group_name_Hall '-P 4 2 3'
_cell_length_a 5.475
_cell_length_b 5.475
_cell_length_c 5.475
_cell_angle_alpha 90.00
_cell_angle_beta 90.00
_cell_angle_gamma 90.00
loop_
_atom_site_label
_atom_site_type_symbol
_atom_site_fract_x
_atom_site_fract_y
_atom_site_fract_z
Na1 Na 0.000 0.000 0.000
Sr1 Sr 0.500 0.500 0.500
Hg1 Hg 0.000 0.000 0.500
```

3.
# BaCaSe2O6

Crystalline BaCaSe2O6 at its relaxed geometry (PBE, the Alexandria database).

Output
Crystal system ... trigonal
ΔE_f (raw) ... -1.7670 eV/atom

Geometry as CIF:
```
data_BaCaSe2O6
_chemical_formula_sum 'Ba3 Ca3 Se6 O18'
_symmetry_space_group_name_H-M 'R -3'
_symmetry_Int_Tables_number 148
_symmetry_space_group_name_Hall '-R 3'
_cell_length_a 5.8141
_cell_length_b 5.8141
_cell_length_c 18.1461
_cell_angle_alpha 90.00
_cell_angle_beta 90.00
_cell_angle_gamma 120.00
loop_
_atom_site_label
_atom_site_type_symbol
_atom_site_fract_x
_atom_site_fract_y
_atom_site_fract_z
Ba1 Ba 0.0000 0.0000 0.0000
Ca1 Ca 0.0000 0.0000 0.5000
Se1 Se 0.0000 0.0000 0.2785
O1 O 0.0322 0.2898 0.2416
```

4.
# AlBiTeBr2

Crystalline AlBiTeBr2 at its relaxed geometry (PBE, the Alexandria database).

Output
Crystal system ... tetragonal
ΔE_f (raw) ... -0.1783 eV/atom

Geometry as CIF:
```
data_AlBiTeBr2
_chemical_formula_sum 'Al1 Bi1 Te1 Br2'
_symmetry_space_group_name_H-M 'P 4/m m m'
_symmetry_Int_Tables_number 123
_symmetry_space_group_name_Hall '-P 4 2'
_cell_length_a 4.845
_cell_length_b 4.845
_cell_length_c 6.405
_cell_angle_alpha 90.00
_cell_angle_beta 90.00
_cell_angle_gamma 90.00
loop_
_atom_site_label
_atom_site_type_symbol
_atom_site_fract_x
_atom_site_fract_y
_atom_site_fract_z
Al1 Al 0.000 0.000 0.000
Bi1 Bi 0.000 0.000 0.500
Te1 Te 0.500 0.500 0.500
Br1 Br 0.000 0.500 0.000
```

5.
# Hf4ZrRh

Crystalline Hf4ZrRh at its relaxed geometry (PBE, the Alexandria database).

Output
DFT formation energy ... 0.2290 eV per atom
Crystal system ... tetragonal
Offset from the most stable computed form ... 521 meV/atom

Geometry as CIF:
```
data_Hf4ZrRh
_chemical_formula_sum 'Hf4 Zr1 Rh1'
_symmetry_space_group_name_H-M 'P 4/m m m'
_symmetry_Int_Tables_number 123
_symmetry_space_group_name_Hall '-P 4 2'
_cell_length_a 4.463
_cell_length_b 4.463
_cell_length_c 7.227
_cell_angle_alpha 90.00
_cell_angle_beta 90.00
_cell_angle_gamma 90.00
loop_
_atom_site_label
_atom_site_type_symbol
_atom_site_fract_x
_atom_site_fract_y
_atom_site_fract_z
Hf1 Hf 0.000 0.500 0.224
Zr1 Zr 0.000 0.000 0.500
Rh1 Rh 0.500 0.500 0.000
```

6.
# Dy3Y4Er5

Crystalline Dy3Y4Er5 at its relaxed geometry (PBE, the Alexandria database).

Output
DFT formation energy ... 0.2418 eV per atom
Crystal system ... monoclinic
Offset from the most stable computed form ... 218 meV/atom

Geometry as CIF:
```
data_Dy3Y4Er5
_chemical_formula_sum 'Dy6 Y8 Er10'
_symmetry_space_group_name_H-M 'C 1 2/m 1'
_symmetry_Int_Tables_number 12
_cell_length_a 15.934
_cell_length_b 5.855
_cell_length_c 9.256
_cell_angle_alpha 90.00
_cell_angle_beta 116.70
_cell_angle_gamma 90.00
loop_
_symmetry_equiv_pos_as_xyz
'x,y,z'
'-x,-y,-z'
'-x,y,-z'
'x,-y,z'
'x+1/2,y+1/2,z'
'-x+1/2,-y+1/2,-z'
'-x+1/2,y+1/2,-z'
'x+1/2,-y+1/2,z'
loop_
_atom_site_label
_atom_site_type_symbol
_atom_site_fract_x
_atom_site_fract_y
_atom_site_fract_z
Dy1 Dy 0.000 0.000 0.000
Dy2 Dy 0.210 0.500 0.234
Y1 Y 0.081 0.500 0.439
Y2 Y 0.213 0.500 0.879
Er1 Er 0.000 0.500 0.000
Er2 Er 0.073 0.000 0.699
Er3 Er 0.172 0.000 0.385
```

7.
# Nd3TlRh

Crystalline Nd3TlRh at its relaxed geometry (PBE, the Alexandria database).

Output
DFT formation energy ... -0.2687 eV per atom
Crystal system ... cubic
Offset from the most stable computed form ... 196 meV/atom

Geometry as CIF:
```
data_Nd3TlRh
_chemical_formula_sum 'Nd3 Tl1 Rh1'
_symmetry_space_group_name_H-M 'P m -3 m'
_symmetry_Int_Tables_number 221
_symmetry_space_group_name_Hall '-P 4 2 3'
_cell_length_a 5.486
_cell_length_b 5.486
_cell_length_c 5.486
_cell_angle_alpha 90.00
_cell_angle_beta 90.00
_cell_angle_gamma 90.00
loop_
_atom_site_label
_atom_site_type_symbol
_atom_site_fract_x
_atom_site_fract_y
_atom_site_fract_z
Nd1 Nd 0.000 0.000 0.500
Tl1 Tl 0.500 0.500 0.500
Rh1 Rh 0.000 0.000 0.000
```

8.
# Au4Br3

Crystalline Au4Br3 at its relaxed geometry (PBE, the Alexandria database).

Output
Crystal system ... hexagonal
ΔE_f (raw) ... 0.7762 eV/atom

Geometry as CIF:
```
data_Au4Br3
_chemical_formula_sum 'Au4 Br3'
_symmetry_space_group_name_H-M 'P 6/m m m'
_symmetry_Int_Tables_number 191
_symmetry_space_group_name_Hall '-P 6 2'
_cell_length_a 6.4826
_cell_length_b 6.4826
_cell_length_c 5.0009
_cell_angle_alpha 90.00
_cell_angle_beta 90.00
_cell_angle_gamma 120.00
loop_
_atom_site_label
_atom_site_type_symbol
_atom_site_fract_x
_atom_site_fract_y
_atom_site_fract_z
Au1 Au 0.0000 0.0000 0.2476
Au2 Au 0.3333 0.6667 0.0000
Br1 Br 0.0000 0.5000 0.5000
```

9.
# TaFeNiMo2

Crystalline TaFeNiMo2 at its relaxed geometry (PBE, the Alexandria database).

Output
DFT formation energy ... 1.1106 eV per atom
Crystal system ... tetragonal

Geometry as CIF:
```
data_TaFeNiMo2
_chemical_formula_sum 'Ta1 Fe1 Ni1 Mo2'
_symmetry_space_group_name_H-M 'P 4/m m m'
_symmetry_Int_Tables_number 123
_symmetry_space_group_name_Hall '-P 4 2'
_cell_length_a 4.493
_cell_length_b 4.493
_cell_length_c 4.172
_cell_angle_alpha 90.00
_cell_angle_beta 90.00
_cell_angle_gamma 90.00
loop_
_atom_site_label
_atom_site_type_symbol
_atom_site_fract_x
_atom_site_fract_y
_atom_site_fract_z
Ta1 Ta 0.000 0.000 0.000
Fe1 Fe 0.500 0.500 0.000
Ni1 Ni 0.500 0.500 0.500
Mo1 Mo 0.000 0.500 0.500
```

10.
# DySc2AlPt4

Crystalline DySc2AlPt4 at its relaxed geometry (PBE, the Alexandria database).

Output
DFT formation energy ... -1.1709 eV per atom
Crystal system ... trigonal

Geometry as CIF:
```
data_DySc2AlPt4
_chemical_formula_sum 'Dy3 Sc6 Al3 Pt12'
_symmetry_space_group_name_H-M 'R -3 m'
_symmetry_Int_Tables_number 166
_symmetry_space_group_name_Hall '-R 3 2"'
_cell_length_a 4.5790
_cell_length_b 4.5790
_cell_length_c 24.1113
_cell_angle_alpha 90.00
_cell_angle_beta 90.00
_cell_angle_gamma 120.00
loop_
_atom_site_label
_atom_site_type_symbol
_atom_site_fract_x
_atom_site_fract_y
_atom_site_fract_z
Dy1 Dy 0.0000 0.0000 0.0000
Sc1 Sc 0.0000 0.0000 0.2441
Al1 Al 0.0000 0.0000 0.5000
Pt1 Pt 0.0000 0.0000 0.1301
Pt2 Pt 0.0000 0.0000 0.3943
```

11.
# CoPbS2Cl

Crystalline CoPbS2Cl at its relaxed geometry (PBE, the Alexandria database).

Output
Crystal system ... tetragonal
Offset from the most stable computed form ... 1012 meV/atom
ΔE_f (raw) ... 0.8603 eV/atom

Geometry as CIF:
```
data_CoPbS2Cl
_chemical_formula_sum 'Co1 Pb1 S2 Cl1'
_symmetry_space_group_name_H-M 'P 4/m m m'
_symmetry_Int_Tables_number 123
_symmetry_space_group_name_Hall '-P 4 2'
_cell_length_a 5.031
_cell_length_b 5.031
_cell_length_c 5.000
_cell_angle_alpha 90.00
_cell_angle_beta 90.00
_cell_angle_gamma 90.00
loop_
_atom_site_label
_atom_site_type_symbol
_atom_site_fract_x
_atom_site_fract_y
_atom_site_fract_z
Co1 Co 0.000 0.000 0.000
Pb1 Pb 0.500 0.500 0.500
S1 S 0.000 0.500 0.500
Cl1 Cl 0.500 0.500 0.000
```

12.
# YSn3As

Crystalline YSn3As at its relaxed geometry (PBE, the Alexandria database).

Output
DFT formation energy ... 0.8076 eV per atom
Crystal system ... cubic
Offset from the most stable computed form ... 535 meV/atom

Geometry as CIF:
```
data_YSn3As
_chemical_formula_sum 'Y1 Sn3 As1'
_symmetry_space_group_name_H-M 'P m -3 m'
_symmetry_Int_Tables_number 221
_symmetry_space_group_name_Hall '-P 4 2 3'
_cell_length_a 5.753
_cell_length_b 5.753
_cell_length_c 5.753
_cell_angle_alpha 90.00
_cell_angle_beta 90.00
_cell_angle_gamma 90.00
loop_
_atom_site_label
_atom_site_type_symbol
_atom_site_fract_x
_atom_site_fract_y
_atom_site_fract_z
Y1 Y 0.000 0.000 0.000
Sn1 Sn 0.000 0.000 0.500
As1 As 0.500 0.500 0.500
```

13.
# Be2AlW

Crystalline Be2AlW at its relaxed geometry (PBE, the Alexandria database).

Output
DFT formation energy ... 0.0785 eV per atom
Crystal system ... monoclinic

Geometry as CIF:
```
data_Be2AlW
_chemical_formula_sum 'Be2 Al1 W1'
_symmetry_space_group_name_H-M 'P 1 m 1'
_symmetry_Int_Tables_number 6
_cell_length_a 2.739
_cell_length_b 3.729
_cell_length_c 4.899
_cell_angle_alpha 90.00
_cell_angle_beta 106.11
_cell_angle_gamma 90.00
loop_
_symmetry_equiv_pos_as_xyz
'x,y,z'
'x,-y,z'
loop_
_atom_site_label
_atom_site_type_symbol
_atom_site_fract_x
_atom_site_fract_y
_atom_site_fract_z
Be1 Be 0.000 0.000 0.000
Be2 Be 0.127 0.500 0.254
Al1 Al 0.393 0.500 0.786
W1 W 0.732 0.000 0.464
```

14.
# Li3Co

Crystalline Li3Co at its relaxed geometry (PBE, the Alexandria database).

Output
DFT formation energy ... 0.3294 eV per atom
Crystal system ... hexagonal

Geometry as CIF:
```
data_Li3Co
_chemical_formula_sum 'Li12 Co4'
_symmetry_space_group_name_H-M 'P 63/m m c'
_symmetry_Int_Tables_number 194
_symmetry_space_group_name_Hall '-P 6c 2c'
_cell_length_a 5.3797
_cell_length_b 5.3797
_cell_length_c 8.9063
_cell_angle_alpha 90.00
_cell_angle_beta 90.00
_cell_angle_gamma 120.00
loop_
_atom_site_label
_atom_site_type_symbol
_atom_site_fract_x
_atom_site_fract_y
_atom_site_fract_z
Li1 Li 0.0000 0.5000 0.0000
Li2 Li 0.1581 0.3161 0.2500
Co1 Co 0.0000 0.0000 0.0000
Co2 Co 0.3333 0.6667 0.7500
```

15.
# TaGa3Te

Crystalline TaGa3Te at its relaxed geometry (PBE, the Alexandria database).

Output
Crystal system ... cubic
Offset from the most stable computed form ... 864 meV/atom
ΔE_f (raw) ... 1.5040 eV/atom

Geometry as CIF:
```
data_TaGa3Te
_chemical_formula_sum 'Ta1 Ga3 Te1'
_symmetry_space_group_name_H-M 'P m -3 m'
_symmetry_Int_Tables_number 221
_symmetry_space_group_name_Hall '-P 4 2 3'
_cell_length_a 5.211
_cell_length_b 5.211
_cell_length_c 5.211
_cell_angle_alpha 90.00
_cell_angle_beta 90.00
_cell_angle_gamma 90.00
loop_
_atom_site_label
_atom_site_type_symbol
_atom_site_fract_x
_atom_site_fract_y
_atom_site_fract_z
Ta1 Ta 0.000 0.000 0.000
Ga1 Ga 0.000 0.500 0.500
Te1 Te 0.500 0.500 0.500
```

16.
# PrNdSiPd

Crystalline PrNdSiPd at its relaxed geometry (PBE, the Alexandria database).

Output
Crystal system ... cubic
Offset from the most stable computed form ... 132 meV/atom
ΔE_f (raw) ... -0.6047 eV/atom

Geometry as CIF:
```
data_PrNdSiPd
_chemical_formula_sum 'Pr4 Nd4 Si4 Pd4'
_symmetry_space_group_name_H-M 'F -4 3 m'
_symmetry_Int_Tables_number 216
_symmetry_space_group_name_Hall 'F -4 2 3'
_cell_length_a 7.318
_cell_length_b 7.318
_cell_length_c 7.318
_cell_angle_alpha 90.00
_cell_angle_beta 90.00
_cell_angle_gamma 90.00
loop_
_atom_site_label
_atom_site_type_symbol
_atom_site_fract_x
_atom_site_fract_y
_atom_site_fract_z
Pr1 Pr 0.000 0.000 0.000
Nd1 Nd 0.000 0.000 0.500
Si1 Si 0.250 0.250 0.250
Pd1 Pd 0.250 0.250 0.750
```

17.
# Tb5Dy4In4

Crystalline Tb5Dy4In4 at its relaxed geometry (PBE, the Alexandria database).

Output
DFT formation energy ... -0.3227 eV per atom
Crystal system ... tetragonal

Geometry as CIF:
```
data_Tb5Dy4In4
_chemical_formula_sum 'Tb10 Dy8 In8'
_symmetry_space_group_name_H-M 'I 4/m'
_symmetry_Int_Tables_number 87
_symmetry_space_group_name_Hall '-I 4'
_cell_length_a 12.208
_cell_length_b 12.208
_cell_length_c 5.103
_cell_angle_alpha 90.00
_cell_angle_beta 90.00
_cell_angle_gamma 90.00
loop_
_atom_site_label
_atom_site_type_symbol
_atom_site_fract_x
_atom_site_fract_y
_atom_site_fract_z
Tb1 Tb 0.000 0.000 0.000
Tb2 Tb 0.096 0.187 0.500
Dy1 Dy 0.097 0.391 0.000
In1 In 0.108 0.766 0.000
```

18.
# In2CoSb

Crystalline In2CoSb at its relaxed geometry (PBE, the Alexandria database).

Output
Crystal system ... tetragonal
ΔE_f (raw) ... 0.4337 eV/atom

Geometry as CIF:
```
data_In2CoSb
_chemical_formula_sum 'In2 Co1 Sb1'
_symmetry_space_group_name_H-M 'P 4/m m m'
_symmetry_Int_Tables_number 123
_symmetry_space_group_name_Hall '-P 4 2'
_cell_length_a 4.234
_cell_length_b 4.234
_cell_length_c 4.804
_cell_angle_alpha 90.00
_cell_angle_beta 90.00
_cell_angle_gamma 90.00
loop_
_atom_site_label
_atom_site_type_symbol
_atom_site_fract_x
_atom_site_fract_y
_atom_site_fract_z
In1 In 0.000 0.500 0.000
Co1 Co 0.000 0.000 0.500
Sb1 Sb 0.500 0.500 0.500
```

19.
# Mg3CuIr

Crystalline Mg3CuIr at its relaxed geometry (PBE, the Alexandria database).

Output
DFT formation energy ... -0.2214 eV per atom
Crystal system ... triclinic
Offset from the most stable computed form ... 0 meV/atom

Geometry as CIF:
```
data_Mg3CuIr
_chemical_formula_sum 'Mg6 Cu2 Ir2'
_symmetry_space_group_name_H-M 'P -1'
_symmetry_Int_Tables_number 2
_cell_length_a 4.510
_cell_length_b 4.517
_cell_length_c 8.479
_cell_angle_alpha 105.37
_cell_angle_beta 90.00
_cell_angle_gamma 90.02
loop_
_symmetry_equiv_pos_as_xyz
'x,y,z'
'-x,-y,-z'
loop_
_atom_site_label
_atom_site_type_symbol
_atom_site_fract_x
_atom_site_fract_y
_atom_site_fract_z
Mg1 Mg 0.250 0.065 0.128
Mg2 Mg 0.250 0.249 0.498
Mg3 Mg 0.250 0.430 0.863
Cu1 Cu 0.249 0.662 0.322
Ir1 Ir 0.250 0.846 0.693
```

20.
# TaMoW

Crystalline TaMoW at its relaxed geometry (PBE, the Alexandria database).

Output
DFT formation energy ... 0.2804 eV per atom
Crystal system ... trigonal
Offset from the most stable computed form ... 435 meV/atom

Geometry as CIF:
```
data_TaMoW
_chemical_formula_sum 'Ta1 Mo1 W1'
_symmetry_space_group_name_H-M 'P 3 m 1'
_symmetry_Int_Tables_number 156
_cell_length_a 3.0371
_cell_length_b 3.0371
_cell_length_c 6.4441
_cell_angle_alpha 90.00
_cell_angle_beta 90.00
_cell_angle_gamma 120.00
loop_
_symmetry_equiv_pos_as_xyz
'x,y,z'
'-y,x-y,z'
'-x+y,-x,z'
'-y,-x,z'
'-x+y,y,z'
'x,x-y,z'
loop_
_atom_site_label
_atom_site_type_symbol
_atom_site_fract_x
_atom_site_fract_y
_atom_site_fract_z
Ta1 Ta 0.0000 0.0000 0.0000
Mo1 Mo 0.3333 0.6667 0.6594
W1 W 0.6667 0.3333 0.3437
```